Below is a relaxed Nd4SbI5 crystal, with properties calculated at the PBE-GGA level.

Unit cell a=19.6260 b=4.4015 c=9.2234 alpha=90.00 beta=102.04 gamma=90.00
Space group C2/m (No. 12)
Unique sites:
Nd1 0.0006 0.0000 0.2260
Nd2 0.1556 0.5000 0.0722
Sb1 0.0000 0.5000 0.0000
I1 0.0000 0.5000 0.5000
I2 0.1677 0.0000 0.3302
I3 0.1710 0.0000 0.8207

- Formation energy from raw total energies: -12.373 eV/f.u.
- Size of the total moment: 0.000 μB per atom
- Electronic total energy: -86.636 eV per cell
- Crystal system: monoclinic
- Fermi-level density of states: 8.522 states/eV per cell